[1]
This record from the Open Quantum Materials Database describes a relaxed structure of Ba2LaOsN6. The functional is PBE.

Excess energy over the best structure of this formula in the dataset ... 0 meV per atom
Volume ... 332.1 Å³/cell
Size of the total moment ... 3.00 μB per formula unit
Electronic total energy ... -6.9335 eV/atom

Lattice parameters (Å, degrees): 6.138 6.138 8.814 90.00 90.00 90.00
Space group I4/m (No. 87)
Asymmetric unit:
Ba (0.000, 0.500, 0.250) [4 per cell]
La (0.000, 0.000, 0.000) [2 per cell]
Os (0.000, 0.000, 0.500) [2 per cell]
N (0.000, 0.000, 0.274) [4 per cell]
N (0.186, 0.254, 0.500) [8 per cell]

***

[2]
This record from the Open Quantum Materials Database describes a relaxed structure of Ba2LaOsN6. The functional is PBE.

Excess energy over the best structure of this formula in the dataset ... 4 meV per atom
Volume ... 164.6 Å³/cell
Size of the total moment ... 3.01 μB per formula unit
Electronic total energy ... -6.9291 eV/atom

Lattice parameters (Å, degrees): 6.113 6.114 6.145 60.87 60.59 60.30
Space group P-1 (No. 2)
Asymmetric unit:
Ba (0.250, 0.249, 0.254) [2 per cell]
La (0.000, 0.000, 0.000) [1 per cell]
Os (0.500, 0.500, 0.500) [1 per cell]
N (0.241, 0.742, 0.315) [2 per cell]
N (0.284, 0.670, 0.773) [2 per cell]
N (0.308, 0.248, 0.700) [2 per cell]

***

[3]
This record from the Open Quantum Materials Database describes a relaxed structure of Ba2LaOsN6. The functional is PBE.

Excess energy over the best structure of this formula in the dataset ... 2 meV per atom
Volume ... 330.7 Å³/cell
Size of the total moment ... 3.02 μB per formula unit
Electronic total energy ... -6.9319 eV/atom

Lattice parameters (Å, degrees): 10.657 6.127 6.209 90.00 125.34 90.00
Space group C2/m (No. 12)
Asymmetric unit:
Ba (0.248, 0.000, 0.247) [4 per cell]
La (0.000, 0.000, 0.500) [2 per cell]
Os (0.000, 0.500, 0.000) [2 per cell]
N (0.022, 0.275, 0.801) [8 per cell]
N (0.221, 0.500, 0.263) [4 per cell]

***

[4]
This record from the Open Quantum Materials Database describes a relaxed structure of BaLaNb. The functional is PBE.

Excess energy over the best structure of this formula in the dataset ... 0 meV per atom
Volume ... 438.7 Å³/cell
Size of the total moment ... 3.37 μB per formula unit
Electronic total energy ... -4.3302 eV/atom

Lattice parameters (Å, degrees): 7.599 7.599 7.599 90.00 90.00 90.00
Space group F-43m (No. 216)
Asymmetric unit:
Ba (0.000, 0.000, 0.000) [4 per cell]
La (0.250, 0.250, 0.250) [4 per cell]
Nb (0.000, 0.000, 0.500) [4 per cell]